Li2CaBi2, relaxed, DFT PBE; energy above the most stable polymorph in this dataset = 0 meV per atom; calculated formation energy = -571 meV per atom; DFT total energy = -16.4 eV per cell; space group = C2/m
1.0
-1.800 1.472 4.444
-3.609 -2.616 2.299
3.040 -3.707 4.502
Bi Li Ca
2 2 1
Direct
0.611 0.111 0.260
0.389 0.889 0.740
0.251 0.751 0.363
0.749 0.249 0.637
0.000 0.500 0.000


HoHPtRh2, relaxed, DFT PBE; DFT total energy = -31.8 eV per cell; space group = P4/mmm
1.0
4.047 0.000 0.000
0.000 4.124 0.000
0.000 0.000 4.124
H Pt Rh Ho
1 1 2 1
Direct
0.000 0.000 0.000
0.500 0.000 0.000
0.000 0.500 0.000
0.000 0.000 0.500
0.500 0.500 0.500